# 1
TbThRu2: optimized geometry, PBE-GGA.

Properties
energy of formation = -1.61 eV/f.u.
total energy = -128.8 eV per cell

Cell lengths 6.974, 9.913, 4.913 Å; angles 90.00, 90.00, 90.00 degrees
Space group Cmcm (No. 63)
Unique sites:
Tb (0.000, 0.118, 0.250) x4
Th (0.000, 0.368, 0.750) x4
Ru (0.239, 0.375, 0.250) x8

=====

# 2
Ca2Zr2H: optimized geometry, PBE-GGA.

Properties
total energy = -44.1 eV per cell

Cell lengths 3.886, 3.886, 18.887 Å; angles 90.00, 90.00, 90.00 degrees
Space group I4/mmm (No. 139)
Unique sites:
Ca (0.000, 0.000, 0.094) x4
Zr (0.000, 0.500, 0.250) x4
H (0.000, 0.000, 0.500) x2

=====

# 3
Nd6Y5Sc2: optimized geometry, PBE-GGA.

Properties
energy of formation = 1.61 eV/f.u.
total energy = -144.0 eV per cell

Cell lengths 11.492, 20.662, 3.605 Å; angles 90.00, 90.00, 90.00 degrees
Space group Pbam (No. 55)
Unique sites:
Nd (0.069, 0.080, 0.000) x4
Nd (0.087, 0.367, 0.000) x4
Nd (0.168, 0.643, 0.500) x4
Y (0.000, 0.500, 0.500) x2
Y (0.084, 0.228, 0.500) x4
Y (0.193, 0.940, 0.500) x4
Sc (0.170, 0.792, 0.000) x4

=====

# 4
CsTeCl3: optimized geometry, PBE-GGA.

Properties
raw formation energy = -5.36 eV/f.u.
total energy = -29.8 eV per cell

Cell lengths 6.689, 7.445, 9.733 Å; angles 104.47, 106.56, 96.23 degrees
Space group P-1 (No. 2)
Unique sites:
Cs (0.089, 0.250, 0.313) x2
Te (0.357, 0.359, 0.854) x2
Cl (0.028, 0.745, 0.319) x2
Cl (0.259, 0.132, 0.988) x2
Cl (0.389, 0.564, 0.676) x2

=====

# 5
Ba3Zr2NpO9: optimized geometry, PBE-GGA.

Properties
raw formation energy = -46.73 eV/f.u.
total energy = -127.2 eV per cell

Cell lengths 6.0965, 6.0965, 7.4824 Å; angles 90.00, 90.00, 120.00 degrees
Space group P-3m1 (No. 164)
Unique sites:
Ba (0.0000, 0.0000, 0.0000) x1
Ba (0.3333, 0.6667, 0.6711) x2
Zr (0.3333, 0.6667, 0.1619) x2
Np (0.0000, 0.0000, 0.5000) x1
O (0.0000, 0.5000, 0.0000) x3
O (0.1700, 0.3400, 0.3275) x6

=====

# 6
Sm3ZrPd12: optimized geometry, PBE-GGA.

Properties
energy of formation = -13.09 eV/f.u.
total energy = -98.1 eV per cell

Cell lengths 4.135, 4.135, 16.569 Å; angles 90.00, 90.00, 90.00 degrees
Space group P4/mmm (No. 123)
Unique sites:
Sm (0.000, 0.000, 0.000) x1
Sm (0.000, 0.000, 0.254) x2
Zr (0.000, 0.000, 0.500) x1
Pd (0.000, 0.500, 0.128) x4
Pd (0.000, 0.500, 0.384) x4
Pd (0.500, 0.500, 0.000) x1
Pd (0.500, 0.500, 0.256) x2
Pd (0.500, 0.500, 0.500) x1

=====

# 7
Sr2Zn2Si: optimized geometry, PBE-GGA.

Properties
raw formation energy = -0.54 eV/f.u.
total energy = -23.7 eV per cell

Cell lengths 3.706, 3.706, 19.735 Å; angles 90.00, 90.00, 90.00 degrees
Space group I4/mmm (No. 139)
Unique sites:
Sr (0.000, 0.000, 0.098) x4
Zn (0.000, 0.500, 0.250) x4
Si (0.000, 0.000, 0.500) x2

=====

# 8
PuMnIn2: optimized geometry, PBE-GGA.

Properties
energy of formation = 0.05 eV/f.u.
total energy = -28.9 eV per cell

Cell lengths 3.137, 3.137, 8.799 Å; angles 90.00, 90.00, 90.00 degrees
Space group P4/mmm (No. 123)
Unique sites:
Pu (0.000, 0.000, 0.000) x1
Mn (0.000, 0.000, 0.500) x1
In (0.500, 0.500, 0.285) x2

=====

# 9
NaLaPmSn: optimized geometry, PBE-GGA.

Properties
energy of formation = -1.39 eV/f.u.
total energy = -65.6 eV per cell

Cell lengths 7.816, 7.816, 7.816 Å; angles 90.00, 90.00, 90.00 degrees
Space group F-43m (No. 216)
Unique sites:
Na (0.000, 0.000, 0.000) x4
La (0.250, 0.250, 0.250) x4
Pm (0.250, 0.250, 0.750) x4
Sn (0.000, 0.000, 0.500) x4

=====

# 10
LiSmTmAl: optimized geometry, PBE-GGA.

Properties
energy of formation = -0.81 eV/f.u.
total energy = -62.6 eV per cell

Cell lengths 7.311, 7.311, 7.311 Å; angles 90.00, 90.00, 90.00 degrees
Space group F-43m (No. 216)
Unique sites:
Li (0.000, 0.000, 0.000) x4
Sm (0.250, 0.250, 0.750) x4
Tm (0.250, 0.250, 0.250) x4
Al (0.000, 0.000, 0.500) x4

=====

# 11
LaPmPuIn: optimized geometry, PBE-GGA.

Properties
energy of formation = 0.04 eV/f.u.
total energy = -106.8 eV per cell

Cell lengths 7.876, 7.876, 7.876 Å; angles 90.00, 90.00, 90.00 degrees
Space group F-43m (No. 216)
Unique sites:
La (0.000, 0.000, 0.000) x4
Pm (0.250, 0.250, 0.750) x4
Pu (0.000, 0.000, 0.500) x4
In (0.250, 0.250, 0.250) x4

=====

# 12
ZnCSN2: optimized geometry, PBE-GGA.

Properties
raw formation energy = 13.74 eV/f.u.
total energy = -17.5 eV per cell

Cell lengths 3.738, 3.738, 5.478 Å; angles 90.00, 90.00, 90.00 degrees
Space group P4/mmm (No. 123)
Unique sites:
Zn (0.000, 0.000, 0.000) x1
C (0.500, 0.500, 0.500) x1
S (0.000, 0.000, 0.500) x1
N (0.000, 0.500, 0.000) x2